AlCoPdS2: relaxed, PBEsol.

Formation energy without anion corrections, eV per atom: 0.743

abc: 4.4203 4.4203 4.4174
angles: 90.00 90.00 90.00
With the nearest neighbours (Å) after each atom.
Fractional coordinates of all 5 atoms:
Al  0.0000  0.0000  0.0000  2 Co 2.21, 4 S 2.21
Co  0.0000  0.0000  0.5000  2 Al 2.21
Pd  0.5000  0.5000  0.5000  8 S 3.12, 4 Co 3.13
S  0.0000  0.5000  0.0000  2 Al 2.21
S  0.5000  0.0000  0.0000  2 Al 2.21

Al2TlCoPd: relaxed, PBEsol.

Formation enthalpy at 0 K, meV/atom: 232

abc: 4.4249 4.4249 4.7746
angles: 90.00 90.00 90.00
With the nearest neighbours (Å) after each atom.
Fractional coordinates of all 5 atoms:
Al  0.0000  0.5000  0.0000  2 Co 2.21
Al  0.5000  0.0000  0.0000  2 Co 2.21
Tl  0.0000  0.0000  0.5000  4 Pd 3.13, 8 Al 3.25
Co  0.5000  0.5000  0.0000  4 Al 2.21, 2 Pd 2.39
Pd  0.5000  0.5000  0.5000  2 Co 2.39

Pr2Al2Co15: relaxed, PBEsol.

Formation enthalpy at 0 K, meV/atom: -102

abc: 6.2645 6.2645 6.2645
angles: 82.90 82.90 82.90
With the nearest neighbours (Å) after each atom.
Fractional coordinates of all 19 atoms:
Pr  0.1468  0.1468  0.1468  15 Co 2.90-3.13, 1 Al 3.00
Pr  0.8532  0.8532  0.8532  15 Co 2.90-3.13, 1 Al 3.00
Al  0.3948  0.3948  0.3948  12 Co 2.51-2.68, 1 Al 2.55
Al  0.6052  0.6052  0.6052  12 Co 2.51-2.68, 1 Al 2.55
Co  0.0000  0.5000  0.5000  8 Co 2.36-2.38, 2 Al 2.51
Co  0.1528  0.1528  0.6454  8 Co 2.38-2.56, 1 Al 2.54
Co  0.1528  0.6454  0.1528  8 Co 2.38-2.56, 1 Al 2.54
Co  0.2161  0.5000  0.7839  8 Co 2.35-2.56
Co  0.2161  0.7839  0.5000  8 Co 2.35-2.56
Co  0.3546  0.8472  0.8472  8 Co 2.38-2.56, 1 Al 2.54
Co  0.5000  0.0000  0.5000  8 Co 2.36-2.38, 2 Al 2.51
Co  0.5000  0.2161  0.7839  8 Co 2.35-2.56
Co  0.5000  0.5000  0.0000  8 Co 2.36-2.38, 2 Al 2.51
Co  0.5000  0.7839  0.2161  8 Co 2.35-2.56
Co  0.6454  0.1528  0.1528  8 Co 2.38-2.56, 1 Al 2.54
Co  0.7839  0.2161  0.5000  8 Co 2.35-2.56
Co  0.7839  0.5000  0.2161  8 Co 2.35-2.56
Co  0.8472  0.3546  0.8472  8 Co 2.38-2.56, 1 Al 2.54
Co  0.8472  0.8472  0.3546  8 Co 2.38-2.56, 1 Al 2.54

Pr2AlCo2: relaxed, PBEsol.

Formation enthalpy at 0 K, meV/atom: -214

abc: 5.5664 5.5664 5.5664
angles: 137.95 121.01 75.06
With the nearest neighbours (Å) after each atom.
Fractional coordinates of all 5 atoms:
Pr  0.2014  0.2014  0.0000  6 Co 2.94-3.05, 2 Al 3.27
Pr  0.7986  0.7986  0.0000  6 Co 2.94-3.05, 2 Al 3.27
Al  0.5000  0.0000  0.5000  4 Co 2.52
Co  0.2209  0.5000  0.7209  1 Co 2.42, 2 Al 2.52
Co  0.7791  0.5000  0.2791  1 Co 2.42, 2 Al 2.52

| no. | V (Å³ per atom) |
| --- | --- |
| 1 | 17.26 |
| 2 | 18.70 |
| 3 | 12.66 |
| 4 | 19.33 |